Entry 1:
Computed, not measured: a relaxed CaY2TlNi crystal at the PBE level of DFT.

The total energy is -4.754 eV per atom. The crystal system is tetragonal. The density of states at the Fermi level is 5.234 states/eV per cell.

Cell and atoms, written as CIF:
```
data_CaY2TlNi
_chemical_formula_sum 'Ca1 Y2 Tl1 Ni1'
_cell_length_a 5.200
_cell_length_b 5.200
_cell_length_c 5.424
_cell_angle_alpha 90.00
_cell_angle_beta 90.00
_cell_angle_gamma 90.00
_space_group_name_H-M_alt 'P 4/m m m'
_space_group_IT_number 123
_space_group_name_Hall '-P 4 2'
loop_
_atom_site_label
_atom_site_type_symbol
_atom_site_fract_x
_atom_site_fract_y
_atom_site_fract_z
Ca1 Ca 0.000 0.000 0.000
Y1 Y 0.000 0.500 0.500
Tl1 Tl 0.500 0.500 0.000
Ni1 Ni 0.000 0.000 0.500
```

---

Entry 2:
Computed, not measured: a relaxed NaMnZnGe2 crystal at the PBE level of DFT.

The total energy is -4.192 eV per atom. The crystal system is tetragonal. The density of states at the Fermi level is 1.122 states/eV per cell.

Cell and atoms, written as CIF:
```
data_NaMnZnGe2
_chemical_formula_sum 'Na1 Mn1 Zn1 Ge2'
_cell_length_a 4.552
_cell_length_b 4.552
_cell_length_c 4.841
_cell_angle_alpha 90.00
_cell_angle_beta 90.00
_cell_angle_gamma 90.00
_space_group_name_H-M_alt 'P 4/m m m'
_space_group_IT_number 123
_space_group_name_Hall '-P 4 2'
loop_
_atom_site_label
_atom_site_type_symbol
_atom_site_fract_x
_atom_site_fract_y
_atom_site_fract_z
Na1 Na 0.000 0.000 0.000
Mn1 Mn 0.500 0.500 0.500
Zn1 Zn 0.500 0.500 0.000
Ge1 Ge 0.000 0.500 0.500
```

---

Entry 3:
Computed, not measured: a relaxed ScH11Br2O6 crystal at the PBE level of DFT.

The total energy is -5.089 eV per atom. The crystal system is triclinic. The density of states at the Fermi level is 0.000 states/eV per cell.

Cell and atoms, written as CIF:
```
data_ScH11Br2O6
_chemical_formula_sum 'Sc2 H22 Br4 O12'
_cell_length_a 7.569
_cell_length_b 8.427
_cell_length_c 8.679
_cell_angle_alpha 95.30
_cell_angle_beta 115.12
_cell_angle_gamma 102.02
_space_group_name_H-M_alt 'P -1'
_space_group_IT_number 2
loop_
_space_group_symop_operation_xyz
'x,y,z'
'-x,-y,-z'
loop_
_atom_site_label
_atom_site_type_symbol
_atom_site_fract_x
_atom_site_fract_y
_atom_site_fract_z
Sc1 Sc 0.123 0.161 0.175
H1 H 0.030 0.550 0.803
H2 H 0.054 0.827 0.176
H3 H 0.076 0.840 0.606
H4 H 0.162 0.022 0.723
H5 H 0.196 0.681 0.977
H6 H 0.253 0.459 0.439
H7 H 0.338 0.319 0.536
H8 H 0.371 0.310 0.017
H9 H 0.396 0.459 0.157
H10 H 0.423 0.984 0.290
H11 H 0.461 0.833 0.598
Br1 Br 0.134 0.687 0.414
Br2 Br 0.468 0.246 0.806
O1 O 0.032 0.903 0.094
O2 O 0.055 0.653 0.883
O3 O 0.056 0.917 0.687
O4 O 0.286 0.353 0.422
O5 O 0.342 0.338 0.116
O6 O 0.402 0.090 0.326
```

---

Entry 4:
Computed, not measured: a relaxed MgBe2P crystal at the PBE level of DFT.

The energy relative to the lowest polymorph listed for this composition comes out at 547.9 meV/atom. The total energy is -3.078 eV per atom. The crystal system is cubic. The density of states at the Fermi level is 9.460 states/eV per cell.

Cell and atoms, written as CIF:
```
data_MgBe2P
_chemical_formula_sum 'Mg4 Be8 P4'
_cell_length_a 5.928
_cell_length_b 5.928
_cell_length_c 5.928
_cell_angle_alpha 90.00
_cell_angle_beta 90.00
_cell_angle_gamma 90.00
_space_group_name_H-M_alt 'F -4 3 m'
_space_group_IT_number 216
_space_group_name_Hall 'F -4 2 3'
loop_
_atom_site_label
_atom_site_type_symbol
_atom_site_fract_x
_atom_site_fract_y
_atom_site_fract_z
Mg1 Mg 0.000 0.000 0.000
Be1 Be 0.000 0.000 0.500
Be2 Be 0.250 0.250 0.750
P1 P 0.250 0.250 0.250
```

---

Entry 5:
Computed, not measured: a relaxed Al2HgTeW crystal at the PBE level of DFT.

The energy relative to the lowest polymorph listed for this composition comes out at 0.0 meV/atom. The total energy is -4.322 eV per atom. The crystal system is tetragonal. The density of states at the Fermi level is 1.917 states/eV per cell. The value obtained for the uncorrected formation energy is 455 meV/atom.

Cell and atoms, written as CIF:
```
data_Al2HgTeW
_chemical_formula_sum 'Al2 Hg1 Te1 W1'
_cell_length_a 5.099
_cell_length_b 5.099
_cell_length_c 5.115
_cell_angle_alpha 90.00
_cell_angle_beta 90.00
_cell_angle_gamma 90.00
_space_group_name_H-M_alt 'P 4/m m m'
_space_group_IT_number 123
_space_group_name_Hall '-P 4 2'
loop_
_atom_site_label
_atom_site_type_symbol
_atom_site_fract_x
_atom_site_fract_y
_atom_site_fract_z
Al1 Al 0.000 0.500 0.000
Hg1 Hg 0.000 0.000 0.500
Te1 Te 0.500 0.500 0.500
W1 W 0.500 0.500 0.000
```

---

Entry 6:
Computed, not measured: a relaxed CaFeCo2 crystal at the PBE level of DFT.

The energy relative to the lowest polymorph listed for this composition comes out at 107.8 meV/atom. The total energy is -5.909 eV per atom. The crystal system is tetragonal. The density of states at the Fermi level is 3.878 states/eV per cell.

Cell and atoms, written as CIF:
```
data_CaFeCo2
_chemical_formula_sum 'Ca1 Fe1 Co2'
_cell_length_a 3.032
_cell_length_b 3.032
_cell_length_c 6.617
_cell_angle_alpha 90.00
_cell_angle_beta 90.00
_cell_angle_gamma 90.00
_space_group_name_H-M_alt 'P 4/m m m'
_space_group_IT_number 123
_space_group_name_Hall '-P 4 2'
loop_
_atom_site_label
_atom_site_type_symbol
_atom_site_fract_x
_atom_site_fract_y
_atom_site_fract_z
Ca1 Ca 0.000 0.000 0.000
Fe1 Fe 0.000 0.000 0.500
Co1 Co 0.500 0.500 0.314
```

---

Entry 7:
Computed, not measured: a relaxed TlIn2PbBr6 crystal at the PBE level of DFT.

The total energy is -2.927 eV per atom. The crystal system is triclinic. The density of states at the Fermi level is 4.629 states/eV per cell. The value obtained for the uncorrected formation energy is -768 meV/atom.

Cell and atoms, written as CIF:
```
data_TlIn2PbBr6
_chemical_formula_sum 'Tl1 In2 Pb1 Br6'
_cell_length_a 7.754
_cell_length_b 7.756
_cell_length_c 8.655
_cell_angle_alpha 116.61
_cell_angle_beta 90.04
_cell_angle_gamma 119.95
_space_group_name_H-M_alt 'P 1'
_space_group_IT_number 1
loop_
_space_group_symop_operation_xyz
'x,y,z'
loop_
_atom_site_label
_atom_site_type_symbol
_atom_site_fract_x
_atom_site_fract_y
_atom_site_fract_z
Tl1 Tl 0.000 0.000 0.000
In1 In 0.297 0.593 0.889
In2 In 0.807 0.614 0.421
Pb1 Pb 0.487 0.973 0.460
Br1 Br 0.072 0.745 0.195
Br2 Br 0.196 0.774 0.665
Br3 Br 0.449 0.521 0.195
Br4 Br 0.579 0.470 0.665
Br5 Br 0.673 0.123 0.195
Br6 Br 0.891 0.085 0.664
```

---

Entry 8:
Computed, not measured: a relaxed Sm3P2Rh9Au crystal at the PBE level of DFT.

The total energy is -6.818 eV per atom. The crystal system is trigonal. The density of states at the Fermi level is 14.060 states/eV per cell.

Cell and atoms, written as CIF:
```
data_Sm3P2Rh9Au
_chemical_formula_sum 'Sm3 P2 Rh9 Au1'
_cell_length_a 6.0324
_cell_length_b 6.0324
_cell_length_c 9.3497
_cell_angle_alpha 90.00
_cell_angle_beta 90.00
_cell_angle_gamma 120.00
_space_group_name_H-M_alt 'P -3 m 1'
_space_group_IT_number 164
_space_group_name_Hall '-P 3 2"'
loop_
_atom_site_label
_atom_site_type_symbol
_atom_site_fract_x
_atom_site_fract_y
_atom_site_fract_z
Sm1 Sm 0.0000 0.0000 0.0000
Sm2 Sm 0.3333 0.6667 0.6929
P1 P 0.3333 0.6667 0.1587
Rh1 Rh 0.0000 0.5000 0.0000
Rh2 Rh 0.1500 0.3000 0.2680
Au1 Au 0.0000 0.0000 0.5000
```

---

Entry 9:
Computed, not measured: a relaxed Tm8CuIr2 crystal at the PBE level of DFT.

The energy relative to the lowest polymorph listed for this composition comes out at 0.0 meV/atom. The total energy is -5.678 eV per atom. The crystal system is monoclinic. The density of states at the Fermi level is 24.322 states/eV per cell.

Cell and atoms, written as CIF:
```
data_Tm8CuIr2
_chemical_formula_sum 'Tm16 Cu2 Ir4'
_cell_length_a 17.187
_cell_length_b 4.825
_cell_length_c 6.799
_cell_angle_alpha 90.00
_cell_angle_beta 107.16
_cell_angle_gamma 90.00
_space_group_name_H-M_alt 'C 1 2/m 1'
_space_group_IT_number 12
loop_
_space_group_symop_operation_xyz
'x,y,z'
'-x,-y,-z'
'-x,y,-z'
'x,-y,z'
'x+1/2,y+1/2,z'
'-x+1/2,-y+1/2,-z'
'-x+1/2,y+1/2,-z'
'x+1/2,-y+1/2,z'
loop_
_atom_site_label
_atom_site_type_symbol
_atom_site_fract_x
_atom_site_fract_y
_atom_site_fract_z
Tm1 Tm 0.033 0.000 0.284
Tm2 Tm 0.096 0.500 0.965
Tm3 Tm 0.169 0.500 0.465
Tm4 Tm 0.204 0.000 0.814
Cu1 Cu 0.000 0.500 0.500
Ir1 Ir 0.187 0.000 0.207
```

---

Entry 10:
Computed, not measured: a relaxed Al4NiPt2 crystal at the PBE level of DFT.

The total energy is -5.582 eV per atom. The crystal system is trigonal. The density of states at the Fermi level is 7.731 states/eV per cell.

Cell and atoms, written as CIF:
```
data_Al4NiPt2
_chemical_formula_sum 'Al12 Ni3 Pt6'
_cell_length_a 4.2174
_cell_length_b 4.2174
_cell_length_c 20.6447
_cell_angle_alpha 90.00
_cell_angle_beta 90.00
_cell_angle_gamma 120.00
_space_group_name_H-M_alt 'R -3 m'
_space_group_IT_number 166
_space_group_name_Hall '-R 3 2"'
loop_
_atom_site_label
_atom_site_type_symbol
_atom_site_fract_x
_atom_site_fract_y
_atom_site_fract_z
Al1 Al 0.0000 0.0000 0.1226
Al2 Al 0.0000 0.0000 0.3721
Ni1 Ni 0.0000 0.0000 0.5000
Pt1 Pt 0.0000 0.0000 0.2488
```

---

Entry 11:
Computed, not measured: a relaxed AsPdPt2C crystal at the PBE level of DFT.

The total energy is -5.862 eV per atom. The crystal system is tetragonal. The density of states at the Fermi level is 2.845 states/eV per cell.

Cell and atoms, written as CIF:
```
data_AsPdPt2C
_chemical_formula_sum 'As1 Pd1 Pt2 C1'
_cell_length_a 4.167
_cell_length_b 4.167
_cell_length_c 4.330
_cell_angle_alpha 90.00
_cell_angle_beta 90.00
_cell_angle_gamma 90.00
_space_group_name_H-M_alt 'P 4/m m m'
_space_group_IT_number 123
_space_group_name_Hall '-P 4 2'
loop_
_atom_site_label
_atom_site_type_symbol
_atom_site_fract_x
_atom_site_fract_y
_atom_site_fract_z
As1 As 0.000 0.000 0.000
Pd1 Pd 0.500 0.500 0.000
Pt1 Pt 0.000 0.500 0.500
C1 C 0.500 0.500 0.500
```

---

Entry 12:
Computed, not measured: a relaxed KHfIn crystal at the PBE level of DFT.

The energy relative to the lowest polymorph listed for this composition comes out at 1468.3 meV/atom. The total energy is -3.119 eV per atom. The crystal system is hexagonal. The density of states at the Fermi level is 7.922 states/eV per cell.

Cell and atoms, written as CIF:
```
data_KHfIn
_chemical_formula_sum 'K2 Hf2 In2'
_cell_length_a 5.9195
_cell_length_b 5.9195
_cell_length_c 11.1164
_cell_angle_alpha 90.00
_cell_angle_beta 90.00
_cell_angle_gamma 120.00
_space_group_name_H-M_alt 'P 63/m m c'
_space_group_IT_number 194
_space_group_name_Hall '-P 6c 2c'
loop_
_atom_site_label
_atom_site_type_symbol
_atom_site_fract_x
_atom_site_fract_y
_atom_site_fract_z
K1 K 0.3333 0.6667 0.2500
Hf1 Hf 0.0000 0.0000 0.0000
In1 In 0.0000 0.0000 0.2500
```